Material: MgCdFeIr
Method: DFT, PBE-GGA
State: relaxed

Geometry as POSCAR:
```
MgCdFeIr
1.0
4.470 0.000 0.000
2.235 3.871 0.000
2.235 1.290 3.650
Ir Mg Fe Cd
1 1 1 1
direct
0.500 0.500 0.500
0.750 0.750 0.750
0.250 0.250 0.250
0.000 0.000 0.000
```

space-group type = F-43m, No. 216
calculated formation energy = 19 meV per atom
DFT total energy = -19.76 eV/f.u.
D(E_F) = 0.51 states/eV per atom